Entry 1:
A plane-wave DFT calculation with GGA-PBE was carried out for a geometry-optimized LiOs2O6 structure.

```
LiOs2O6
1.0
8.497 0.000 0.000
-4.248 7.358 0.000
0.000 0.000 4.419
Li Os O
3 6 18
Cartesian
0.000 0.000 0.000
0.000 4.906 2.203
4.248 2.453 2.216
-1.439 2.493 0.000
-2.856 4.946 2.210
1.393 2.412 2.210
2.878 0.000 0.000
2.809 4.866 0.000
5.712 0.000 2.210
-1.511 4.069 1.110
-0.013 1.727 1.080
-2.746 6.506 1.080
-0.022 3.178 3.292
-1.485 5.789 3.292
1.502 0.852 3.339
2.763 1.570 1.127
1.480 4.015 1.110
0.031 6.632 1.110
2.737 3.289 3.309
4.280 0.726 3.309
1.507 5.750 3.292
2.759 6.483 1.080
4.226 4.181 1.127
5.756 1.608 1.127
4.235 5.631 3.339
7.007 0.875 3.339
5.728 3.343 3.309
```

ΔE_f (raw)	-1.198	eV per atom
M_tot	0.000	μB/f.u.
volume	92.1	Å³/f.u.
E_tot	-194.71	eV per cell


Entry 2:
A plane-wave DFT calculation with GGA-PBE was carried out for a geometry-optimized Li2OsO4 structure.

```
Li2OsO4
1.0
5.336 -1.575 0.000
5.336 1.575 0.000
-2.302 0.000 4.490
Li Os O
2 1 4
Cartesian
1.626 0.000 0.800
6.744 0.000 3.690
4.185 0.000 2.245
0.102 0.000 1.998
3.793 0.000 0.480
4.577 0.000 4.010
8.267 0.000 2.492
```

ΔE_f (raw)	-1.443	eV per atom
energy relative to the lowest polymorph listed for this composition	0.0094	eV per atom
M_tot	0.000	μB/f.u.
volume	75.4	Å³/f.u.
E_tot	-44.99	eV per cell


Entry 3:
A plane-wave DFT calculation with GGA-PBE was carried out for a geometry-optimized LiPOsO2 structure.

```
LiPOsO2
1.0
3.765 0.000 0.000
0.000 3.765 0.000
0.000 0.000 5.103
Li P Os O
1 1 1 2
Cartesian
0.000 0.000 0.000
1.882 1.882 0.000
1.882 1.882 2.552
0.000 1.882 2.552
1.882 0.000 2.552
```

ΔE_f (raw)	-0.544	eV per atom
energy relative to the lowest polymorph listed for this composition	0.0000	eV per atom
M_tot	0.000	μB/f.u.
volume	72.3	Å³/f.u.
E_tot	-31.19	eV per cell


Entry 4:
A plane-wave DFT calculation with GGA-PBE was carried out for a geometry-optimized Li2POsO6 structure.

```
Li2POsO6
1.0
5.042 0.000 0.000
0.000 5.042 0.000
0.000 0.000 3.977
Li P Os O
2 1 1 6
Cartesian
0.000 2.521 0.000
2.521 0.000 0.000
0.000 0.000 2.308
2.521 2.521 2.599
0.000 0.000 0.801
1.141 1.141 2.776
1.141 3.901 2.776
2.521 2.521 0.646
3.901 1.141 2.776
3.901 3.901 2.776
```

ΔE_f (raw)	-1.429	eV per atom
M_tot	0.000	μB/f.u.
volume	101.1	Å³/f.u.
E_tot	-64.51	eV per cell


Entry 5:
A plane-wave DFT calculation with GGA-PBE was carried out for a geometry-optimized LiP2OsO structure.

```
LiP2OsO
1.0
4.799 0.000 0.000
0.000 4.799 0.000
0.000 0.000 3.699
Li P Os O
1 2 1 1
Cartesian
0.000 0.000 0.000
0.000 2.399 1.849
2.399 0.000 1.849
2.399 2.399 1.849
2.399 2.399 0.000
```

ΔE_f (raw)	-0.012	eV per atom
energy relative to the lowest polymorph listed for this composition	0.0000	eV per atom
M_tot	0.000	μB/f.u.
volume	85.2	Å³/f.u.
E_tot	-28.98	eV per cell


Entry 6:
A plane-wave DFT calculation with GGA-PBE was carried out for a geometry-optimized LiP2OsO structure.

```
LiP2OsO
1.0
4.511 0.000 0.000
0.000 4.511 0.000
0.000 0.000 3.077
Li P Os O
1 2 1 1
Cartesian
0.000 0.000 0.000
0.000 2.256 0.000
2.256 0.000 0.000
2.256 2.256 1.538
0.000 0.000 1.538
```

ΔE_f (raw)	0.724	eV per atom
energy relative to the lowest polymorph listed for this composition	0.7362	eV per atom
M_tot	0.000	μB/f.u.
volume	62.6	Å³/f.u.
E_tot	-25.30	eV per cell


Entry 7:
A plane-wave DFT calculation with GGA-PBE was carried out for a geometry-optimized LiPOsO2 structure.

```
LiPOsO2
1.0
3.541 0.000 0.000
0.000 3.541 0.000
0.000 0.000 4.302
Li P Os O
1 1 1 2
Cartesian
0.000 0.000 0.000
0.000 0.000 2.151
1.770 1.770 2.151
0.000 1.770 0.000
1.770 0.000 0.000
```

ΔE_f (raw)	0.665	eV per atom
energy relative to the lowest polymorph listed for this composition	1.2087	eV per atom
M_tot	0.000	μB/f.u.
volume	53.9	Å³/f.u.
E_tot	-25.15	eV per cell


Entry 8:
A plane-wave DFT calculation with GGA-PBE was carried out for a geometry-optimized LiPaOsO6 structure.

```
LiPaOsO6
1.0
4.901 0.000 0.000
0.000 4.901 0.000
0.000 0.000 9.630
Li Pa Os O
2 2 2 12
Cartesian
0.000 0.000 0.000
2.451 2.451 4.815
0.000 0.000 3.272
2.451 2.451 8.087
0.000 0.000 6.496
2.451 2.451 1.682
0.920 0.920 5.064
0.935 0.935 7.950
1.096 1.096 1.730
1.355 3.547 6.545
1.516 3.386 3.135
1.531 3.370 0.249
3.370 1.531 0.249
3.386 1.516 3.135
3.547 1.355 6.545
3.805 3.805 1.730
3.966 3.966 7.950
3.982 3.982 5.064
```

ΔE_f (raw)	-2.109	eV per atom
M_tot	2.017	μB/f.u.
volume	115.7	Å³/f.u.
E_tot	-142.73	eV per cell


Entry 9:
A plane-wave DFT calculation with GGA-PBE was carried out for a geometry-optimized LiPaOs2O8 structure.

```
LiPaOs2O8
1.0
-2.526 2.526 4.942
2.526 -2.526 4.942
2.526 2.526 -4.942
Li Pa Os O
1 1 2 8
Cartesian
0.000 0.000 0.000
2.526 0.000 2.471
0.000 0.000 4.942
0.000 2.526 2.471
1.385 1.252 -1.226
3.667 1.252 -1.226
1.252 1.385 1.226
1.273 -1.141 6.168
-1.141 1.273 3.715
1.141 1.273 3.715
1.252 3.667 1.226
1.273 1.141 6.168
```

ΔE_f (raw)	-1.622	eV per atom
M_tot	1.357	μB/f.u.
volume	126.1	Å³/f.u.
E_tot	-93.00	eV per cell


Entry 10:
A plane-wave DFT calculation with GGA-PBE was carried out for a geometry-optimized LiOsPb2O6 structure.

```
LiOsPb2O6
1.0
2.838 1.638 9.279
-2.838 1.638 9.279
0.000 -3.277 9.279
Li Os Pb O
2 2 4 12
Cartesian
0.000 0.000 2.748
0.000 0.000 25.090
0.000 0.000 0.000
0.000 0.000 13.919
0.000 0.000 6.237
0.000 0.000 10.275
0.000 0.000 17.563
0.000 0.000 21.601
0.000 -1.682 8.206
-1.457 0.841 8.206
-1.324 -0.764 15.019
0.000 -1.528 12.819
-1.324 0.764 12.819
-1.457 -0.841 19.633
1.457 0.841 8.206
1.324 -0.764 15.019
0.000 1.528 15.019
1.324 0.764 12.819
1.457 -0.841 19.633
0.000 1.682 19.633
```

ΔE_f (raw)	-1.178	eV per atom
M_tot	0.309	μB/f.u.
volume	129.4	Å³/f.u.
E_tot	-124.18	eV per cell


Entry 11:
A plane-wave DFT calculation with GGA-PBE was carried out for a geometry-optimized LiOs2PbO8 structure.

```
LiOs2PbO8
1.0
5.886 0.000 0.000
-2.943 5.098 0.000
0.000 0.000 6.744
Li Os Pb O
1 2 1 8
Cartesian
0.000 0.000 0.000
0.000 3.399 1.788
2.943 1.699 4.955
0.000 0.000 3.372
0.000 1.662 1.366
-1.504 4.267 1.366
1.440 0.831 5.378
0.000 3.399 3.571
2.943 1.699 3.173
1.504 4.267 1.366
4.447 0.831 5.378
2.943 3.436 5.378
```

ΔE_f (raw)	-1.064	eV per atom
M_tot	2.876	μB/f.u.
volume	202.4	Å³/f.u.
E_tot	-80.52	eV per cell


Entry 12:
A plane-wave DFT calculation with GGA-PBE was carried out for a geometry-optimized Li2OsPb2O6 structure.

```
Li2OsPb2O6
1.0
3.109 -5.168 0.000
3.109 5.168 0.000
-1.000 0.000 5.121
Li Os Pb O
2 1 2 6
Cartesian
3.109 3.962 0.000
3.109 -3.962 0.000
-0.500 0.000 2.560
2.609 1.691 2.560
2.609 -1.691 2.560
0.328 1.456 3.624
1.010 0.000 1.341
0.328 -1.456 3.624
4.890 1.456 1.497
4.208 0.000 3.780
4.890 -1.456 1.497
```

ΔE_f (raw)	-1.273	eV per atom
M_tot	1.858	μB/f.u.
volume	164.6	Å³/f.u.
E_tot	-66.22	eV per cell